Record 1
Here is Er5Ru2Rh after structural relaxation from the Alexandria database. Energies are from PBE.

Space group   I4/mcm (140)
Final energy   -6.59 eV/atom
Crystal system   tetragonal

abc: 7.259 7.259 8.638
angles: 114.85 114.85 90.00
Atoms (fractional coordinates):
Er (0.316, 0.816, 0.284)
Er (0.468, 0.316, 0.284)
Er (0.184, 0.032, 0.716)
Er (0.500, 0.500, 0.000)
Er (0.032, 0.532, 0.716)
Er (0.000, 0.000, 0.000)
Er (0.968, 0.468, 0.284)
Er (0.532, 0.684, 0.716)
Er (0.816, 0.968, 0.284)
Er (0.684, 0.184, 0.716)
Ru (0.373, 0.873, 0.000)
Ru (0.873, 0.627, 0.000)
Ru (0.127, 0.373, 0.000)
Ru (0.627, 0.127, 0.000)
Rh (0.250, 0.250, 0.500)
Rh (0.750, 0.750, 0.500)


Record 2
Here is InSiMo2 after structural relaxation from the Alexandria database. Energies are from PBE.

Space group   Pmmm (47)
Energy above the lowest structure with this stoichiometry   315 meV/atom
Crystal system   orthorhombic

abc: 3.310 4.640 4.314
angles: 90.00 90.00 90.00
Atoms (fractional coordinates):
Si (0.500, 0.000, 0.500)
Mo (0.000, 0.000, 0.000)
Mo (0.500, 0.500, 0.000)
In (0.000, 0.500, 0.500)


Record 3
Here is Al4Ag after structural relaxation from the Alexandria database. Energies are from PBE.

Space group   C2/m (12)
Energy above the lowest structure with this stoichiometry   10 meV/atom
Crystal system   monoclinic

abc: 2.870 4.940 6.518
angles: 105.46 102.72 73.11
Atoms (fractional coordinates):
Al (0.598, 0.206, 0.402)
Al (0.202, 0.397, 0.802)
Al (0.402, 0.794, 0.598)
Al (0.798, 0.603, 0.198)
Ag (0.000, 0.000, 0.000)


no.,calculated volume (Å³/cell)
1,366
2,66
3,84